Material: Cs3Cr2AgF9
Method: DFT, PBE+U
State: relaxed

Summary:
Total energy in eV/atom: -4.981
DOS(E_F) in states/eV per cell: 4.66

```
data_Cs3Cr2AgF9
_space_group_name_H-M_alt 'P -3 m 1'
_space_group_IT_number 164
_space_group_name_Hall '-P 3 2"'
_cell_length_a 6.2338
_cell_length_b 6.2338
_cell_length_c 7.7527
_cell_angle_alpha 90.00
_cell_angle_beta 90.00
_cell_angle_gamma 120.00
loop_
_atom_site_label
_atom_site_fract_x
_atom_site_fract_y
_atom_site_fract_z
Cs1 0.0000 0.0000 0.0000
Cs2 0.3333 0.6667 0.6503
Cr1 0.3333 0.6667 0.1497
Ag1 0.0000 0.0000 0.5000
F1 0.0000 0.5000 0.0000
F2 0.1830 0.3660 0.3002
```